Record 1
Tm2CdPd | Alexandria | PBE-GGA | relaxed; distance to the lowest polymorph of the same formula = 0.000 eV per atom; formation energy from the elements = -0.630 eV per atom; E_tot = -4.3924 eV per atom
1.0
-0.894 -2.889 1.848
0.597 -2.012 -2.856
6.963 -0.844 2.050
Cd Pd Tm
1 1 2
Cartesian
3.333 -2.872 0.521 Cd
-0.149 -2.450 -0.504 Pd
1.572 -0.191 0.463 Tm
5.391 -0.654 1.587 Tm


Record 2
CsZn2HgI | Alexandria | PBE-GGA | relaxed; E_tot = -1.0763 eV per atom
1.0
7.553 0.000 0.000
0.000 7.124 0.000
0.000 0.000 7.553
Hg Zn I Cs
1 2 1 1
Cartesian
3.776 3.562 3.776 Hg
0.000 0.000 3.776 Zn
3.776 0.000 0.000 Zn
0.000 0.000 0.000 I
0.000 3.562 0.000 Cs


Record 3
SrCdBr2 | Alexandria | PBE-GGA | relaxed; distance to the lowest polymorph of the same formula = 0.115 eV per atom; E_tot = -2.7868 eV per atom
1.0
-1.989 2.359 -9.384
3.361 -0.442 -9.279
-2.324 -3.467 8.953
Br Cd Sr
2 1 1
Cartesian
0.125 0.174 -1.698 Br
-1.797 -0.051 -5.110 Br
0.607 0.849 -8.265 Cd
0.798 -1.563 -3.968 Sr


Record 4
RbTcIr2 | Alexandria | PBE-GGA | relaxed; distance to the lowest polymorph of the same formula = 0.000 eV per atom; formation energy from the elements = 1.195 eV per atom; E_tot = -6.0687 eV per atom
1.0
7.547 0.000 0.000
0.000 7.547 0.000
3.774 3.774 3.716
Ir Tc Rb
4 2 2
Cartesian
1.099 5.661 0.929 Ir
6.448 1.887 0.929 Ir
5.661 4.873 2.787 Ir
9.434 10.222 2.787 Ir
7.547 3.774 1.858 Tc
0.000 0.000 0.000 Tc
3.774 7.547 1.858 Rb
3.774 3.774 0.000 Rb


Record 5
ScFeIr3 | Alexandria | PBE-GGA | relaxed; distance to the lowest polymorph of the same formula = 0.984 eV per atom; formation energy from the elements = 1.625 eV per atom; E_tot = -6.6508 eV per atom
1.0
4.647 0.000 0.000
0.000 4.647 0.000
0.000 0.000 4.647
Ir Sc Fe
3 1 1
Cartesian
2.323 0.000 0.000 Ir
0.000 0.000 2.323 Ir
0.000 2.323 0.000 Ir
0.000 0.000 0.000 Sc
2.323 2.323 2.323 Fe


Record 6
PrTm5Cd6 | Alexandria | PBE-GGA | relaxed; formation energy from the elements = -0.304 eV per atom; E_tot = -3.0234 eV per atom
1.0
4.980 -0.030 1.660
0.040 7.492 0.013
-0.013 -0.015 8.341
Tm Cd Pr
5 6 1
Cartesian
0.020 3.746 0.007 Tm
1.692 3.731 3.291 Tm
3.323 -0.030 6.632 Tm
3.315 3.716 6.723 Tm
1.644 -0.015 3.369 Tm
4.136 1.906 4.228 Cd
2.520 5.547 0.840 Cd
2.500 1.915 0.833 Cd
0.871 5.542 5.786 Cd
4.155 5.527 4.234 Cd
0.852 1.921 5.780 Cd
0.000 0.000 0.000 Pr


Copy entry 2 word for word.
CsZn2HgI | Alexandria | PBE-GGA | relaxed; E_tot = -1.0763 eV per atom
1.0
7.553 0.000 0.000
0.000 7.124 0.000
0.000 0.000 7.553
Hg Zn I Cs
1 2 1 1
Cartesian
3.776 3.562 3.776 Hg
0.000 0.000 3.776 Zn
3.776 0.000 0.000 Zn
0.000 0.000 0.000 I
0.000 3.562 0.000 Cs